one.
Computed, not measured: crystalline In2AsS at its relaxed geometry at the PBE level of DFT.

Summary:
**SG**: No. 160
**D(E_F)**: 1.50 states/eV/cell

Structure (CIF):
```
data_In2AsS
_chemical_formula_sum 'In2 As1 S1'
_cell_length_a 4.438
_cell_length_b 4.438
_cell_length_c 7.566
_cell_angle_alpha 72.95
_cell_angle_beta 72.95
_cell_angle_gamma 60.00
_space_group_name_H-M_alt 'P 1'
_space_group_IT_number 1
_space_group_name_Hall 'P 1'
loop_
_atom_site_label
_atom_site_fract_x
_atom_site_fract_y
_atom_site_fract_z
In1 0.498 0.498 0.506
In2 0.001 0.001 0.998
As1 0.628 0.628 0.117
S1 0.124 0.124 0.628
```



two.
Computed, not measured: crystalline In2AsS at its relaxed geometry at the PBE level of DFT.

Summary:
**SG**: No. 160
**D(E_F)**: 1.90 states/eV/cell

Structure (CIF):
```
data_In2AsS
_chemical_formula_sum 'In2 As1 S1'
_cell_length_a 3.933
_cell_length_b 3.933
_cell_length_c 7.402
_cell_angle_alpha 74.59
_cell_angle_beta 74.59
_cell_angle_gamma 60.00
_space_group_name_H-M_alt 'P 1'
_space_group_IT_number 1
_space_group_name_Hall 'P 1'
loop_
_atom_site_label
_atom_site_fract_x
_atom_site_fract_y
_atom_site_fract_z
S1 0.492 0.492 0.523
In1 0.083 0.083 0.751
In2 0.256 0.256 0.233
As1 0.669 0.669 0.992
```



three.
Computed, not measured: crystalline In2AsS at its relaxed geometry at the PBE level of DFT.

Summary:
**SG**: No. 187
**D(E_F)**: 1.39 states/eV/cell

Structure (CIF):
```
data_In2AsS
_chemical_formula_sum 'In2 As1 S1'
_cell_length_a 4.746
_cell_length_b 4.746
_cell_length_c 5.648
_cell_angle_alpha 90.00
_cell_angle_beta 90.00
_cell_angle_gamma 120.00
_space_group_name_H-M_alt 'P 1'
_space_group_IT_number 1
_space_group_name_Hall 'P 1'
loop_
_atom_site_label
_atom_site_fract_x
_atom_site_fract_y
_atom_site_fract_z
S1 0.667 0.333 0.438
As1 0.000 0.000 0.938
In1 0.667 0.333 0.937
In2 0.000 0.000 0.438
```



three is preferred energetically. Next in line: 0.025 eV/atom higher.



one.
Computed, not measured: crystalline InAs2S at its relaxed geometry at the PBE level of DFT.

Summary:
**SG**: No. 122
**D(E_F)**: 2.41 states/eV/cell

Structure (CIF):
```
data_InAs2S
_chemical_formula_sum 'In2 As4 S2'
_cell_length_a 5.537
_cell_length_b 5.537
_cell_length_c 8.042
_cell_angle_alpha 69.86
_cell_angle_beta 69.86
_cell_angle_gamma 90.00
_space_group_name_H-M_alt 'P 1'
_space_group_IT_number 1
_space_group_name_Hall 'P 1'
loop_
_atom_site_label
_atom_site_fract_x
_atom_site_fract_y
_atom_site_fract_z
In1 0.750 0.250 0.500
In2 0.000 0.000 0.000
S1 0.500 0.500 0.000
S2 0.250 0.750 0.500
As1 0.375 0.422 0.750
As2 0.578 0.125 0.250
As3 0.172 0.625 0.250
As4 0.875 0.828 0.750
```



two.
Computed, not measured: crystalline InAs2S at its relaxed geometry at the PBE level of DFT.

Summary:
**SG**: No. 225
**D(E_F)**: 2.83 states/eV/cell

Structure (CIF):
```
data_InAs2S
_chemical_formula_sum 'In1 As2 S1'
_cell_length_a 4.851
_cell_length_b 4.851
_cell_length_c 4.851
_cell_angle_alpha 60.00
_cell_angle_beta 60.00
_cell_angle_gamma 60.00
_space_group_name_H-M_alt 'P 1'
_space_group_IT_number 1
_space_group_name_Hall 'P 1'
loop_
_atom_site_label
_atom_site_fract_x
_atom_site_fract_y
_atom_site_fract_z
S1 0.000 0.000 0.000
As1 0.750 0.750 0.750
As2 0.250 0.250 0.250
In1 0.500 0.500 0.500
```



one is preferred energetically. Next in line: 0.237 eV/atom higher.



one.
Computed, not measured: crystalline InAs2SeS at its relaxed geometry at the PBE level of DFT.

Summary:
**SG**: No. 123
**D(E_F)**: 6.99 states/eV/cell

Structure (CIF):
```
data_InAs2SeS
_chemical_formula_sum 'In1 As2 Se1 S1'
_cell_length_a 5.366
_cell_length_b 5.366
_cell_length_c 5.165
_cell_angle_alpha 90.00
_cell_angle_beta 90.00
_cell_angle_gamma 90.00
_space_group_name_H-M_alt 'P 1'
_space_group_IT_number 1
_space_group_name_Hall 'P 1'
loop_
_atom_site_label
_atom_site_fract_x
_atom_site_fract_y
_atom_site_fract_z
As1 0.500 0.000 0.000
As2 0.000 0.500 0.000
S1 0.500 0.500 0.500
Se1 0.000 0.000 0.500
In1 0.000 0.000 0.000
```



two.
Computed, not measured: crystalline InAs2SeS at its relaxed geometry at the PBE level of DFT.

Summary:
**SG**: No. 123
**D(E_F)**: 6.18 states/eV/cell

Structure (CIF):
```
data_InAs2SeS
_chemical_formula_sum 'In1 As2 Se1 S1'
_cell_length_a 5.000
_cell_length_b 5.000
_cell_length_c 5.015
_cell_angle_alpha 90.00
_cell_angle_beta 90.00
_cell_angle_gamma 90.00
_space_group_name_H-M_alt 'P 1'
_space_group_IT_number 1
_space_group_name_Hall 'P 1'
loop_
_atom_site_label
_atom_site_fract_x
_atom_site_fract_y
_atom_site_fract_z
As1 0.000 0.500 0.000
As2 0.500 0.000 0.000
S1 0.000 0.000 0.000
In1 0.500 0.500 0.500
Se1 0.000 0.000 0.500
```



two is preferred energetically. Next in line: 0.597 eV/atom higher.



one.
Computed, not measured: crystalline InSb2As at its relaxed geometry at the PBE level of DFT.

Summary:
**SG**: No. 123
**D(E_F)**: 2.10 states/eV/cell

Structure (CIF):
```
data_InSb2As
_chemical_formula_sum 'In1 Sb2 As1'
_cell_length_a 3.707
_cell_length_b 3.707
_cell_length_c 7.431
_cell_angle_alpha 90.00
_cell_angle_beta 90.00
_cell_angle_gamma 90.00
_space_group_name_H-M_alt 'P 1'
_space_group_IT_number 1
_space_group_name_Hall 'P 1'
loop_
_atom_site_label
_atom_site_fract_x
_atom_site_fract_y
_atom_site_fract_z
Sb1 0.000 0.000 0.032
Sb2 0.000 0.000 0.468
In1 0.500 0.500 0.750
As1 0.500 0.500 0.250
```



two.
Computed, not measured: crystalline InSb2As at its relaxed geometry at the PBE level of DFT.

Summary:
**SG**: No. 47
**D(E_F)**: 1.99 states/eV/cell

Structure (CIF):
```
data_InSb2As
_chemical_formula_sum 'In1 Sb2 As1'
_cell_length_a 5.205
_cell_length_b 3.114
_cell_length_c 6.531
_cell_angle_alpha 89.99
_cell_angle_beta 90.00
_cell_angle_gamma 90.00
_space_group_name_H-M_alt 'P 1'
_space_group_IT_number 1
_space_group_name_Hall 'P 1'
loop_
_atom_site_label
_atom_site_fract_x
_atom_site_fract_y
_atom_site_fract_z
Sb1 0.000 0.250 0.487
Sb2 0.000 0.250 0.013
In1 0.500 0.750 0.750
As1 0.500 0.250 0.250
```



two is preferred energetically. Next in line: 0.046 eV/atom higher.



one.
Computed, not measured: crystalline InSbAs2 at its relaxed geometry at the PBE level of DFT.

Summary:
**SG**: No. 6
**D(E_F)**: 2.15 states/eV/cell

Structure (CIF):
```
data_InSbAs2
_chemical_formula_sum 'In1 Sb1 As2'
_cell_length_a 5.656
_cell_length_b 3.045
_cell_length_c 6.043
_cell_angle_alpha 75.19
_cell_angle_beta 90.00
_cell_angle_gamma 90.00
_space_group_name_H-M_alt 'P 1'
_space_group_IT_number 1
_space_group_name_Hall 'P 1'
loop_
_atom_site_label
_atom_site_fract_x
_atom_site_fract_y
_atom_site_fract_z
As1 0.500 0.234 0.403
As2 0.000 0.988 0.896
In1 0.000 0.279 0.336
Sb1 0.500 0.000 0.864
```



two.
Computed, not measured: crystalline InSbAs2 at its relaxed geometry at the PBE level of DFT.

Summary:
**SG**: No. 123
**D(E_F)**: 2.41 states/eV/cell

Structure (CIF):
```
data_InSbAs2
_chemical_formula_sum 'In1 Sb1 As2'
_cell_length_a 3.580
_cell_length_b 3.582
_cell_length_c 7.227
_cell_angle_alpha 90.00
_cell_angle_beta 90.00
_cell_angle_gamma 90.00
_space_group_name_H-M_alt 'P 1'
_space_group_IT_number 1
_space_group_name_Hall 'P 1'
loop_
_atom_site_label
_atom_site_fract_x
_atom_site_fract_y
_atom_site_fract_z
In1 0.500 0.500 0.250
As1 0.000 0.000 0.982
As2 0.000 0.000 0.518
Sb1 0.500 0.500 0.750
```



three.
Computed, not measured: crystalline InSbAs2 at its relaxed geometry at the PBE level of DFT.

Summary:
**SG**: No. 12
**D(E_F)**: 1.47 states/eV/cell

Structure (CIF):
```
data_InSbAs2
_chemical_formula_sum 'In1 Sb1 As2'
_cell_length_a 5.990
_cell_length_b 5.990
_cell_length_c 3.034
_cell_angle_alpha 81.26
_cell_angle_beta 81.26
_cell_angle_gamma 117.88
_space_group_name_H-M_alt 'P 1'
_space_group_IT_number 1
_space_group_name_Hall 'P 1'
loop_
_atom_site_label
_atom_site_fract_x
_atom_site_fract_y
_atom_site_fract_z
In1 0.500 0.000 0.500
Sb1 0.000 0.500 0.500
As1 0.000 0.000 0.000
As2 0.500 0.500 0.000
```



one is preferred energetically. Next in line: 0.142 eV/atom higher.



one.
Computed, not measured: crystalline InSbAs2 at its relaxed geometry at the PBE level of DFT.

Summary:
**SG**: No. 216
**D(E_F)**: 3.24 states/eV/cell

Structure (CIF):
```
data_InSbAs2
_chemical_formula_sum 'In1 Sb1 As2'
_cell_length_a 5.053
_cell_length_b 5.053
_cell_length_c 5.053
_cell_angle_alpha 60.00
_cell_angle_beta 60.00
_cell_angle_gamma 60.00
_space_group_name_H-M_alt 'P 1'
_space_group_IT_number 1
_space_group_name_Hall 'P 1'
loop_
_atom_site_label
_atom_site_fract_x
_atom_site_fract_y
_atom_site_fract_z
As1 0.250 0.250 0.250
As2 0.000 0.000 0.000
In1 0.500 0.500 0.500
Sb1 0.750 0.750 0.750
```



two.
Computed, not measured: crystalline InSbAs2 at its relaxed geometry at the PBE level of DFT.

Summary:
**SG**: No. 71
**D(E_F)**: 2.39 states/eV/cell

Structure (CIF):
```
data_InSbAs2
_chemical_formula_sum 'In1 Sb1 As2'
_cell_length_a 5.941
_cell_length_b 5.941
_cell_length_c 5.941
_cell_angle_alpha 143.26
_cell_angle_beta 130.35
_cell_angle_gamma 63.34
_space_group_name_H-M_alt 'P 1'
_space_group_IT_number 1
_space_group_name_Hall 'P 1'
loop_
_atom_site_label
_atom_site_fract_x
_atom_site_fract_y
_atom_site_fract_z
In1 0.750 0.250 0.500
Sb1 0.250 0.750 0.500
As1 0.026 0.026 0.000
As2 0.474 0.474 0.000
```



three.
Computed, not measured: crystalline InSbAs2 at its relaxed geometry at the PBE level of DFT.

Summary:
**SG**: No. 99
**D(E_F)**: 2.84 states/eV/cell

Structure (CIF):
```
data_InSbAs2
_chemical_formula_sum 'In1 Sb1 As2'
_cell_length_a 4.020
_cell_length_b 4.020
_cell_length_c 6.422
_cell_angle_alpha 90.00
_cell_angle_beta 90.00
_cell_angle_gamma 90.00
_space_group_name_H-M_alt 'P 1'
_space_group_IT_number 1
_space_group_name_Hall 'P 1'
loop_
_atom_site_label
_atom_site_fract_x
_atom_site_fract_y
_atom_site_fract_z
Sb1 0.500 0.500 0.692
In1 0.000 0.000 0.563
As1 0.500 0.500 0.105
As2 0.000 0.000 0.140
```



three is preferred energetically. Next in line: 0.183 eV/atom higher.